(1)
Compound: CrCo4Cu
Source: Alexandria via LeMat-Bulk
Functional: meta-GGA SCAN
Structure: single point on PBEsol structure

Energy of formation, eV per formula unit: 1.39
Symmetry: F-43m

Cell and atoms, written as extended XYZ:
```
6
Lattice="-0.451 -0.887 -4.437 -3.602 -2.339 -1.497 -3.227 2.098 -2.422" Properties=species:S:1:pos:R:3 pbc="T T T"
Cr -1.820 -0.282 -2.089
Co -2.747 0.467 -4.475
Co -4.326 -0.260 -3.001
Cu 0.000 0.000 0.000
Co -2.935 -1.756 -4.011
Co -4.552 -0.705 -5.225
```



(2)
Compound: FeSO2
Source: Alexandria via LeMat-Bulk
Functional: meta-GGA SCAN
Structure: single point on PBEsol structure

Formation energy from raw total energies, eV/f.u.: -0.28
Symmetry: I-42d

Cell and atoms, written as extended XYZ:
```
8
Lattice="5.265 0.000 0.000 -2.632 4.637 0.055 0.000 2.936 4.370" Properties=species:S:1:pos:R:3 pbc="T T T"
S 0.000 3.053 1.120
O 3.948 3.434 3.399
O 1.316 4.023 4.276
O 2.104 4.579 1.680
Fe 2.632 4.521 3.305
O 3.160 6.047 3.865
Fe 0.000 0.000 0.000
S 2.632 1.468 2.185
```



(3)
Compound: ZrAgP2
Source: Alexandria via LeMat-Bulk
Functional: meta-GGA SCAN
Structure: single point on PBEsol structure

Offset from the most stable computed form, meV per atom: 137.0
Energy of formation, eV per formula unit: -1.61
Symmetry: R-3m

Cell and atoms, written as extended XYZ:
```
4
Lattice="-1.066 -3.580 -0.936 -1.085 -2.467 2.751 -6.095 -0.269 0.050" Properties=species:S:1:pos:R:3 pbc="T T T"
P -6.159 -4.746 1.401
P -2.088 -1.571 0.463
Ag 0.000 0.000 0.000
Zr -4.123 -3.158 0.932
```



(4)
Compound: BaTaBe2
Source: Alexandria via LeMat-Bulk
Functional: meta-GGA SCAN
Structure: single point on PBEsol structure

Offset from the most stable computed form, meV per atom: 589.5
Energy of formation, eV per formula unit: 4.96
Symmetry: Immm

Cell and atoms, written as extended XYZ:
```
4
Lattice="4.702 0.000 0.000 2.351 4.068 0.344 2.351 1.020 3.953" Properties=species:S:1:pos:R:3 pbc="T T T"
Be 4.702 3.807 3.215
Ba 2.351 0.000 0.000
Ta 2.351 2.544 2.149
Be 4.702 1.281 1.082
```



(5)
Compound: KSi2Cl
Source: Alexandria via LeMat-Bulk
Functional: meta-GGA SCAN
Structure: single point on PBEsol structure

Offset from the most stable computed form, meV per atom: 285.6
Formation energy from raw total energies, eV/f.u.: -0.34
Symmetry: I4/mmm

Cell and atoms, written as extended XYZ:
```
4
Lattice="-3.519 -1.381 -0.288 1.056 -3.093 1.921 -0.572 5.522 5.464" Properties=species:S:1:pos:R:3 pbc="T T T"
Si -0.373 0.096 4.101
Si -2.661 0.952 2.996
Cl -1.231 -2.237 0.817
K 0.000 0.000 0.000
```



(6)
Compound: BeZnBr2
Source: Alexandria via LeMat-Bulk
Functional: meta-GGA SCAN
Structure: single point on PBEsol structure

Offset from the most stable computed form, meV per atom: 578.6
Formation energy from raw total energies, eV/f.u.: 0.83
Symmetry: P4mm

Cell and atoms, written as extended XYZ:
```
4
Lattice="-2.836 -1.395 -0.524 -0.234 -0.697 3.118 -3.589 6.825 1.257" Properties=species:S:1:pos:R:3 pbc="T T T"
Br -2.624 1.026 1.678
Br -3.312 6.298 1.160
Zn -1.814 3.450 0.635
Be -4.291 4.196 2.262
```



(7)
Compound: Y2ScCd2
Source: Alexandria via LeMat-Bulk
Functional: meta-GGA SCAN
Structure: single point on PBEsol structure

Energy of formation, eV per formula unit: -1.63
Symmetry: P4/mbm

Cell and atoms, written as extended XYZ:
```
10
Lattice="3.811 0.000 0.000 0.000 8.204 0.000 0.000 0.000 8.204" Properties=species:S:1:pos:R:3 pbc="T T T"
Y 1.905 5.509 6.797
Sc 0.000 0.000 0.000
Y 1.905 6.797 2.695
Cd 0.000 3.051 7.153
Y 1.905 2.695 1.407
Cd 0.000 5.153 1.051
Sc 0.000 4.102 4.102
Cd 0.000 7.153 5.153
Y 1.905 1.407 5.509
Cd 0.000 1.051 3.051
```



(8)
Compound: CuRe3I
Source: Alexandria via LeMat-Bulk
Functional: meta-GGA SCAN
Structure: single point on PBEsol structure

Formation energy from raw total energies, eV/f.u.: 12.54
Symmetry: Pm-3m

Cell and atoms, written as extended XYZ:
```
5
Lattice="-0.605 -3.431 2.849 2.790 -2.535 -2.460 3.480 1.435 2.468" Properties=species:S:1:pos:R:3 pbc="T T T"
Cu 0.000 0.000 0.000
Re 1.740 0.717 1.234
Re 1.395 -1.267 -1.230
I 2.832 -2.266 1.428
Re -0.303 -1.716 1.425
```



(9)
Compound: SiTc2Ir
Source: Alexandria via LeMat-Bulk
Functional: meta-GGA SCAN
Structure: single point on PBEsol structure

Formation energy from raw total energies, eV/f.u.: -0.42
Symmetry: F-43m

Cell and atoms, written as extended XYZ:
```
4
Lattice="4.258 0.000 0.000 2.129 3.688 0.000 2.129 1.229 3.477" Properties=species:S:1:pos:R:3 pbc="T T T"
Ir 4.258 2.458 1.738
Tc 6.387 3.688 2.608
Si 2.129 1.229 0.869
Tc 0.000 0.000 0.000
```



(10)
Compound: MgAg2PdO
Source: Alexandria via LeMat-Bulk
Functional: meta-GGA SCAN
Structure: single point on PBEsol structure

Formation energy from raw total energies, eV/f.u.: 5.42
Symmetry: P4/mmm

Cell and atoms, written as extended XYZ:
```
5
Lattice="4.527 0.000 0.000 0.000 4.759 0.000 0.000 0.000 4.759" Properties=species:S:1:pos:R:3 pbc="T T T"
Pd 2.263 0.000 0.000
Ag 0.000 0.000 2.380
O 2.263 2.380 2.380
Ag 0.000 2.380 0.000
Mg 0.000 0.000 0.000
```



(11)
Compound: BePt3Se
Source: Alexandria via LeMat-Bulk
Functional: meta-GGA SCAN
Structure: single point on PBEsol structure

Formation energy from raw total energies, eV/f.u.: 1.53
Symmetry: Pm-3m

Cell and atoms, written as extended XYZ:
```
5
Lattice="4.241 0.000 0.000 0.000 4.241 0.000 0.000 0.000 4.241" Properties=species:S:1:pos:R:3 pbc="T T T"
Be 0.000 0.000 0.000
Pt 0.000 2.120 0.000
Pt 2.120 0.000 0.000
Pt 0.000 0.000 2.120
Se 2.120 2.120 2.120
```



(12)
Compound: CoOs4Se
Source: Alexandria via LeMat-Bulk
Functional: meta-GGA SCAN
Structure: single point on PBEsol structure

Formation energy from raw total energies, eV/f.u.: 7.27
Symmetry: F-43m

Cell and atoms, written as extended XYZ:
```
6
Lattice="-2.044 -0.348 -4.666 0.447 -4.331 -2.666 -4.092 -2.951 -0.781" Properties=species:S:1:pos:R:3 pbc="T T T"
Os -2.132 -2.859 -3.040
Co 0.000 0.000 0.000
Os -1.907 -5.030 -4.376
Os -3.156 -3.033 -5.378
Se -4.267 -5.723 -6.085
Os -4.183 -4.338 -3.431
```



no.,Fermi-level density of states (states/eV/atom)
1,1.149
2,0.612
3,0.571
4,0.830
5,0.311
6,0.355
7,0.885
8,0.769
9,0.744
10,0.476
11,0.945
12,0.987